(1)
This record from Alexandria describes a relaxed SrGa2 crystal. The functional is PBE.

The value obtained for the energy relative to the elements is -0.278 eV/atom.

The structure belongs to space group C2/m (No. 12); the cell edges are 5.114, 5.111 and 6.274 Å and the angles 90.00°, 113.06° and 90.00°. The asymmetric unit holds Sr at (0.000, 0.000, 0.000) and Ga at (0.191, 0.500, 0.390).



(2)
This record from Alexandria describes a relaxed Sr3Ga4 crystal. The functional is PBE.

The value obtained for the energy relative to the elements is -0.452 eV/atom.

The structure belongs to space group Immm (No. 71); the cell edges are 4.351, 4.810 and 19.646 Å and the angles 90.00°, 90.00° and 90.00°. The asymmetric unit holds Sr at (0.000, 0.000, 0.000), Sr at (0.000, 0.500, 0.317), Ga at (0.000, 0.000, 0.436) and Ga at (0.000, 0.500, 0.135).



(3)
This record from Alexandria describes a relaxed Sr3Ga4 crystal. The functional is PBE.

The value obtained for the energy relative to the elements is -0.378 eV/atom.

The structure belongs to space group P2_1 (No. 4); the cell edges are 4.517, 14.838 and 6.326 Å and the angles 90.00°, 110.87° and 90.00°. The asymmetric unit holds Sr at (0.013, 0.000, 0.027), Sr at (0.280, 0.351, 0.559), Sr at (0.280, 0.649, 0.559), Ga at (0.000, 0.250, 0.000), Ga at (0.306, 0.000, 0.613), Ga at (0.433, 0.157, 0.866) and Ga at (0.433, 0.843, 0.865).



(4)
This record from Alexandria describes a relaxed SrGa5 crystal. The functional is PBE.

The value obtained for the energy relative to the elements is -0.275 eV/atom.

The structure belongs to space group P6/mmm (No. 191); the cell edges are 4.6624, 4.6624 and 6.8609 Å and the angles 90.00°, 90.00° and 120.00°. The asymmetric unit holds Sr at (0.0000, 0.0000, 0.0000), Ga at (0.0000, 0.0000, 0.5000) and Ga at (0.3333, 0.6667, 0.3004).



(5)
This record from Alexandria describes a relaxed SrGa6 crystal. The functional is PBE.

The value obtained for the energy relative to the elements is -0.089 eV/atom.

The structure belongs to space group Im-3m (No. 229); the cell edges are 7.096, 7.096 and 7.096 Å and the angles 90.00°, 90.00° and 90.00°. The asymmetric unit holds Sr at (0.000, 0.000, 0.000) and Ga at (0.000, 0.250, 0.500).



(6)
This record from Alexandria describes a relaxed SrGa7 crystal. The functional is PBE.

The value obtained for the energy relative to the elements is -0.171 eV/atom.

The structure belongs to space group C2/m (No. 12); the cell edges are 10.992, 7.066 and 4.860 Å and the angles 90.00°, 111.02° and 90.00°. The asymmetric unit holds Sr at (0.000, 0.000, 0.000), Ga at (0.000, 0.500, 0.000), Ga at (0.132, 0.317, 0.628) and Ga at (0.245, 0.500, 0.247).



(7)
This record from Alexandria describes a relaxed Sr4Ga crystal. The functional is PBE.

The value obtained for the energy relative to the elements is -0.075 eV/atom.

The structure belongs to space group Pm-3m (No. 221); the cell edges are 6.318, 6.318 and 6.318 Å and the angles 90.00°, 90.00° and 90.00°. The asymmetric unit holds Sr at (0.000, 0.000, 0.000), Sr at (0.000, 0.500, 0.500) and Ga at (0.500, 0.500, 0.500).



(8)
This record from Alexandria describes a relaxed Sr3TaGa crystal. The functional is PBE.

The value obtained for the energy relative to the elements is 1.039 eV/atom.

The structure belongs to space group Pm-3m (No. 221); the cell edges are 5.930, 5.930 and 5.930 Å and the angles 90.00°, 90.00° and 90.00°. The asymmetric unit holds Sr at (0.000, 0.000, 0.500), Ta at (0.000, 0.000, 0.000) and Ga at (0.500, 0.500, 0.500).



(9)
This record from Alexandria describes a relaxed SrTaGa3 crystal. The functional is PBE.

The value obtained for the energy relative to the elements is -0.089 eV/atom.

The structure belongs to space group Pm-3m (No. 221); the cell edges are 5.072, 5.072 and 5.072 Å and the angles 90.00°, 90.00° and 90.00°. The asymmetric unit holds Sr at (0.000, 0.000, 0.000), Ta at (0.500, 0.500, 0.500) and Ga at (0.000, 0.500, 0.500).



(10)
This record from Alexandria describes a relaxed SrTa3Ga crystal. The functional is PBE.

The value obtained for the energy relative to the elements is 1.245 eV/atom.

The structure belongs to space group Pm-3m (No. 221); the cell edges are 4.949, 4.949 and 4.949 Å and the angles 90.00°, 90.00° and 90.00°. The asymmetric unit holds Sr at (0.000, 0.000, 0.000), Ta at (0.000, 0.500, 0.500) and Ga at (0.500, 0.500, 0.500).



(11)
This record from Alexandria describes a relaxed SrTa3Ga crystal. The functional is PBE.

The value obtained for the energy relative to the elements is 2.871 eV/atom.

The structure belongs to space group Pm-3m (No. 221); the cell edges are 4.887, 4.887 and 4.887 Å and the angles 90.00°, 90.00° and 90.00°. The asymmetric unit holds Sr at (0.000, 0.000, 0.000), Ta at (0.000, 0.000, 0.500) and Ga at (0.500, 0.500, 0.500).



(12)
This record from Alexandria describes a relaxed Sr2TaGa crystal. The functional is PBE.

The value obtained for the energy relative to the elements is 0.889 eV/atom.

The structure belongs to space group I-42d (No. 122); the cell edges are 8.816, 8.816 and 6.045 Å and the angles 90.00°, 90.00° and 90.00°. The asymmetric unit holds Sr at (0.222, 0.750, 0.125), Ta at (0.000, 0.000, 0.500) and Ga at (0.000, 0.000, 0.000).



(13)
This record from Alexandria describes a relaxed SrTa2Ga crystal. The functional is PBE.

The value obtained for the energy relative to the elements is 0.876 eV/atom.

The structure belongs to space group I4_1/amd (No. 141, origin choice 2); the cell edges are 4.915, 4.915 and 19.528 Å and the angles 90.00°, 90.00° and 90.00°. The asymmetric unit holds Sr at (0.000, 0.250, 0.375), Ta at (0.000, 0.000, 0.000) and Ga at (0.000, 0.250, 0.875).



(14)
This record from Alexandria describes a relaxed SrTaGa3 crystal. The functional is PBE.

The value obtained for the energy relative to the elements is 1.845 eV/atom.

The structure belongs to space group Pm-3m (No. 221); the cell edges are 5.283, 5.283 and 5.283 Å and the angles 90.00°, 90.00° and 90.00°. The asymmetric unit holds Sr at (0.000, 0.000, 0.000), Ta at (0.500, 0.500, 0.500) and Ga at (0.000, 0.000, 0.500).



(15)
This record from Alexandria describes a relaxed Sr3TaGa crystal. The functional is PBE.

The value obtained for the energy relative to the elements is 0.944 eV/atom.

The structure belongs to space group Pm-3m (No. 221); the cell edges are 5.989, 5.989 and 5.989 Å and the angles 90.00°, 90.00° and 90.00°. The asymmetric unit holds Sr at (0.000, 0.000, 0.500), Ta at (0.500, 0.500, 0.500) and Ga at (0.000, 0.000, 0.000).



(16)
This record from Alexandria describes a relaxed SrTa2Ga2 crystal. The functional is PBE.

The value obtained for the energy relative to the elements is 0.082 eV/atom.

The structure belongs to space group P4/mbm (No. 127); the cell edges are 8.352, 8.352 and 2.918 Å and the angles 90.00°, 90.00° and 90.00°. The asymmetric unit holds Sr at (0.000, 0.000, 0.000), Ta at (0.118, 0.382, 0.500) and Ga at (0.171, 0.671, 0.000).



(17)
This record from Alexandria describes a relaxed SrTa2Ga2 crystal. The functional is PBE.

The value obtained for the energy relative to the elements is -0.025 eV/atom.

The structure belongs to space group I4/mmm (No. 139); the cell edges are 4.162, 4.162 and 12.558 Å and the angles 90.00°, 90.00° and 90.00°. The asymmetric unit holds Sr at (0.000, 0.000, 0.000), Ta at (0.000, 0.500, 0.250) and Ga at (0.000, 0.000, 0.391).



(18)
This record from Alexandria describes a relaxed Sr2TaGaTe crystal. The functional is PBE.

Its uncorrected formation energy is 0.822 eV/atom.

The structure belongs to space group P4/mmm (No. 123); the cell edges are 6.118, 6.118 and 5.432 Å and the angles 90.00°, 90.00° and 90.00°. The asymmetric unit holds Sr at (0.000, 0.500, 0.000), Ta at (0.000, 0.000, 0.500), Ga at (0.500, 0.500, 0.500) and Te at (0.500, 0.500, 0.000).



(19)
This record from Alexandria describes a relaxed SrTbGa6 crystal. The functional is PBE.

The value obtained for the energy relative to the elements is -0.409 eV/atom.

The structure belongs to space group Pmm2 (No. 25); the cell edges are 4.414, 6.479 and 6.032 Å and the angles 90.00°, 90.00° and 90.00°. The asymmetric unit holds Sr at (0.000, 0.000, 0.000), Tb at (0.500, 0.500, 0.236), Ga at (0.000, 0.262, 0.474), Ga at (0.000, 0.500, 0.879), Ga at (0.500, 0.000, 0.417) and Ga at (0.500, 0.281, 0.756).



(20)
This record from Alexandria describes a relaxed SrTb2Ga crystal. The functional is PBE.

The value obtained for the energy relative to the elements is -0.003 eV/atom.

The structure belongs to space group R-3m (No. 166, hexagonal axes); the cell edges are 3.7045, 3.7045 and 34.0568 Å and the angles 90.00°, 90.00° and 120.00°. The asymmetric unit holds Sr at (0.0000, 0.0000, 0.0000), Tb at (0.0000, 0.0000, 0.1060) and Ga at (0.0000, 0.0000, 0.5000).



Record order is preserved below.
Calculated volume: 25.15 29.37 28.30 21.53 25.52 22.02 50.43 41.70 26.09 24.24 23.34 29.37 29.49 29.49 42.97 20.36 21.75 40.65 21.56 33.73 Å³ per atom